PBE Ho10Ga3Bi3, optimized geometry; space group = P-62m; N(E_F) = 0.653 states/eV per atom; crystal system = hexagonal; ΔE_f = -0.590 eV/atom
1.0
8.818 0.000 0.000
-4.409 7.637 0.000
0.000 0.000 6.525
Ho Ga Bi
10 3 3
Cartesian
-1.038 1.797 0.000
-3.361 5.821 3.263
2.075 0.000 0.000
1.048 1.815 3.263
0.000 5.091 1.722
0.000 5.091 4.804
4.409 2.546 1.722
4.409 2.546 4.804
6.722 0.000 3.263
3.371 5.839 0.000
-1.733 3.001 3.263
3.465 0.000 3.263
2.676 4.636 3.263
-2.649 4.588 0.000
1.760 3.049 0.000
5.297 0.000 0.000

PBE HoGaBi, optimized geometry; space group = I4mm; N(E_F) = 1.065 states/eV per atom; crystal system = tetragonal; ΔE to the lowest computed polymorph = 0.000 eV per atom; ΔE_f = -0.306 eV/atom
1.0
-1.862 1.862 5.554
1.862 -1.862 5.554
1.862 1.862 -5.554
Ho Ga Bi
1 1 1
Cartesian
0.000 0.000 0.000
0.000 0.000 3.947
0.000 0.000 7.675

PBE Ho7Ga5Bi, optimized geometry; space group = Imm2; N(E_F) = 0.894 states/eV per atom; crystal system = orthorhombic; ΔE_f = -0.403 eV/atom
1.0
-3.049 5.227 5.103
3.049 -5.227 5.103
3.049 5.227 -5.103
Ho Ga Bi
7 5 1
Cartesian
0.000 0.000 0.000
3.049 1.854 1.254
0.000 0.000 3.792
0.000 3.422 0.910
0.000 7.032 0.910
0.000 5.227 3.512
0.000 3.373 6.358
1.557 2.567 -1.399
4.542 2.567 -1.399
3.049 0.000 3.578
-1.493 2.660 3.705
1.493 2.660 3.705
0.000 0.000 6.951

Calculated final energy, -4.7466; -4.1344; -4.3307 eV per atom (same order as the records).